(1)
Material: RbNaErCl5
Method: DFT, PBE
State: relaxed

The structure in POSCAR format:
```
RbNaErCl5
1.0
-0.2986 -6.7079 -3.9889
0.7008 -1.4815 7.6362
-9.6051 3.3739 -0.6911
Cl Na Er Rb
10 2 2 2
direct
0.0611 0.9389 0.2500
0.2490 0.3520 0.5694
0.6480 0.7510 0.9306
0.9389 0.0611 0.7500
0.0960 0.7140 0.9174
0.7510 0.6480 0.4306
0.9040 0.2860 0.0826
0.7140 0.0960 0.4174
0.3520 0.2490 0.0694
0.2860 0.9040 0.5826
0.6878 0.3122 0.2500
0.3122 0.6878 0.7500
0.0000 0.0000 0.0000
0.0000 0.0000 0.5000
0.6651 0.3349 0.7500
0.3349 0.6651 0.2500
```

The value obtained for the formation energy (no corrections) is -2.10 eV per atom. The total moment comes out at 0.0 μB per cell. As for the space-group type: No. 15.

=====

(2)
Material: Rb2GePF
Method: DFT, PBE
State: relaxed

The structure in POSCAR format:
```
Rb2GePF
1.0
-3.0833 -1.2009 5.6520
1.3489 -4.2844 -0.1744
5.4336 1.5764 3.2992
F Rb P Ge
1 2 1 1
direct
0.5000 0.5000 0.5000
0.0000 0.0000 0.5000
0.5000 0.0000 0.0000
0.0000 0.0000 0.0000
0.0000 0.5000 0.0000
```

The value obtained for the formation energy (no corrections) is -0.68 eV per atom. The total moment comes out at 0.0 μB per cell. As for the space-group type: No. 123.

=====

(3)
Material: Gd2BiTe
Method: DFT, PBE
State: relaxed

The structure in POSCAR format:
```
Gd2BiTe
1.0
-3.2531 1.8295 -0.7987
-1.6653 -1.6451 3.0146
2.2791 6.0414 4.5557
Bi Te Gd
1 1 2
direct
0.5000 0.5000 0.5000
0.5000 0.5000 0.0000
0.0000 0.0000 0.2444
0.0000 0.0000 0.7556
```

The value obtained for the formation energy (no corrections) is -0.99 eV per atom. The total moment comes out at 15.3 μB per cell. As for the space-group type: No. 123.

=====

(4)
Material: HoTmGaIr
Method: DFT, PBE
State: relaxed

The structure in POSCAR format:
```
HoTmGaIr
1.0
-2.6955 1.7120 -2.2038
0.4543 -3.0815 -2.9495
-2.4107 -3.6974 3.4916
Ho Ir Ga Tm
1 1 1 1
direct
0.1408 0.0000 0.2817
0.5734 0.5000 0.1468
0.4279 0.0000 0.8557
0.8579 0.5000 0.7158
```

For the calculated formation energy, the calculation gives -0.767 eV/atom. The total moment comes out at 0.0 μB per cell. As for the space-group type: No. 38.

=====

Q: Look up the total moment of the second one.
A: 0.0 μB per cell